(1)
Zr5Ag2: relaxed, PBE.

calculated total energy: -6.885 eV per atom

```
data_Zr5Ag2
_chemical_formula_sum 'Zr15 Ag6'
_space_group_name_H-M_alt 'R -3 m'
_space_group_IT_number 166
_space_group_name_Hall '-R 3 2"'
_cell_length_a 4.9519
_cell_length_b 4.9519
_cell_length_c 21.0793
_cell_angle_alpha 90.00
_cell_angle_beta 90.00
_cell_angle_gamma 120.00
loop_
_atom_site_label
_atom_site_type_symbol
_atom_site_fract_x
_atom_site_fract_y
_atom_site_fract_z
Zr1 Zr 0.0000 0.0000 0.0000
Zr2 Zr 0.0000 0.0000 0.1481
Zr3 Zr 0.0000 0.0000 0.4262
Ag1 Ag 0.0000 0.0000 0.2835
```

---

(2)
SrGa2Pt2: relaxed, PBE.

calculated total energy: -4.761 eV per atom

```
data_SrGa2Pt2
_chemical_formula_sum 'Sr2 Ga4 Pt4'
_space_group_name_H-M_alt 'I 4/m m m'
_space_group_IT_number 139
_space_group_name_Hall '-I 4 2'
_cell_length_a 4.233
_cell_length_b 4.233
_cell_length_c 11.087
_cell_angle_alpha 90.00
_cell_angle_beta 90.00
_cell_angle_gamma 90.00
loop_
_atom_site_label
_atom_site_type_symbol
_atom_site_fract_x
_atom_site_fract_y
_atom_site_fract_z
Sr1 Sr 0.000 0.000 0.000
Ga1 Ga 0.000 0.000 0.378
Pt1 Pt 0.000 0.500 0.250
```

---

(3)
Pr2NdMg3In3: relaxed, PBE.

calculated total energy: -3.439 eV per atom

```
data_Pr2NdMg3In3
_chemical_formula_sum 'Pr4 Nd2 Mg6 In6'
_space_group_name_H-M_alt 'A m m 2'
_space_group_IT_number 38
_space_group_name_Hall 'A 2 -2'
_cell_length_a 4.781
_cell_length_b 13.372
_cell_length_c 7.740
_cell_angle_alpha 90.00
_cell_angle_beta 90.00
_cell_angle_gamma 90.00
loop_
_atom_site_label
_atom_site_type_symbol
_atom_site_fract_x
_atom_site_fract_y
_atom_site_fract_z
Pr1 Pr 0.000 0.215 0.000
Nd1 Nd 0.000 0.000 0.354
Mg1 Mg 0.500 0.000 0.025
Mg2 Mg 0.500 0.120 0.664
In1 In 0.000 0.000 0.783
In2 In 0.500 0.166 0.285
```

---

(4)
Co2Ge3S3: relaxed, PBE.

calculated total energy: -5.478 eV per atom

```
data_Co2Ge3S3
_chemical_formula_sum 'Co24 Ge36 S36'
_space_group_name_H-M_alt 'R 3'
_space_group_IT_number 146
_space_group_name_Hall 'R 3'
_cell_length_a 11.3636
_cell_length_b 11.3636
_cell_length_c 13.8845
_cell_angle_alpha 90.00
_cell_angle_beta 90.00
_cell_angle_gamma 120.00
loop_
_atom_site_label
_atom_site_type_symbol
_atom_site_fract_x
_atom_site_fract_y
_atom_site_fract_z
Co1 Co 0.0000 0.0000 0.0000
Co2 Co 0.0000 0.0000 0.4857
Co3 Co 0.0004 0.4976 0.4858
Co4 Co 0.9996 0.5023 0.9993
Ge1 Ge 0.0107 0.1732 0.5813
Ge2 Ge 0.0590 0.6048 0.8483
Ge3 Ge 0.1214 0.3927 0.9704
Ge4 Ge 0.1712 0.6769 0.5705
S1 S 0.0175 0.1800 0.0779
S2 S 0.0541 0.6017 0.3430
S3 S 0.1195 0.3881 0.4751
S4 S 0.1706 0.6837 0.0746
```

---

Number 1: magnetization 0.036 μB/atom. Number 2: magnetization 0.001 μB/atom. Number 3: magnetization 0.000 μB/atom. Number 4: magnetization 0.000 μB/atom.